[1]
A geometry-optimized PtSI structure. Source: the Alexandria database, functional PBE.

a = 12.6614 Å, b = 3.6970 Å, c = 7.2007 Å
α = 90.00°, β = 107.16°, γ = 90.00°
Space group C2/m (No. 12)
One atom of each set of equivalent atoms:
Pt 0.0000 0.0000 0.0000
Pt 0.0000 0.5000 0.5000
S 0.0583 0.0000 0.7065
I 0.1596 0.5000 0.1466

Crystal system: monoclinic
Energy relative to the elements, uncorrected in eV/atom: -0.149
Magnetic moment in Bohr magnetons per cell: 0.00

[2]
A geometry-optimized Sb2PtSI structure. Source: the Alexandria database, functional PBE.

a = 5.1389 Å, b = 5.1389 Å, c = 5.3404 Å
α = 90.00°, β = 90.00°, γ = 90.00°
Space group P4/mmm (No. 123)
One atom of each set of equivalent atoms:
Sb 0.0000 0.5000 0.0000
Pt 0.0000 0.0000 0.5000
S 0.5000 0.5000 0.0000
I 0.5000 0.5000 0.5000

Crystal system: tetragonal
Energy relative to the elements, uncorrected in eV/atom: 0.969
Magnetic moment in Bohr magnetons per cell: 0.00

[3]
A geometry-optimized Sb2PtSI structure. Source: the Alexandria database, functional PBE.

a = 5.2751 Å, b = 5.2751 Å, c = 5.3684 Å
α = 90.00°, β = 90.00°, γ = 90.00°
Space group P4/mmm (No. 123)
One atom of each set of equivalent atoms:
Sb 0.0000 0.5000 0.0000
Pt 0.0000 0.0000 0.0000
S 0.5000 0.5000 0.5000
I 0.0000 0.0000 0.5000

Crystal system: tetragonal
Energy relative to the elements, uncorrected in eV/atom: 0.572
Magnetic moment in Bohr magnetons per cell: 0.00

[4]
A geometry-optimized PtSeS2I structure. Source: the Alexandria database, functional PBE.

a = 5.0709 Å, b = 5.0709 Å, c = 5.1310 Å
α = 90.00°, β = 90.00°, γ = 90.00°
Space group P4/mmm (No. 123)
One atom of each set of equivalent atoms:
Pt 0.0000 0.0000 0.0000
Se 0.5000 0.5000 0.0000
S 0.0000 0.5000 0.5000
I 0.0000 0.0000 0.5000

Crystal system: tetragonal
Energy relative to the elements, uncorrected in eV/atom: 1.330
Magnetic moment in Bohr magnetons per cell: 1.86

[5]
A geometry-optimized Te2PtSI structure. Source: the Alexandria database, functional PBE.

a = 5.3073 Å, b = 5.3073 Å, c = 5.3786 Å
α = 90.00°, β = 90.00°, γ = 90.00°
Space group P4/mmm (No. 123)
One atom of each set of equivalent atoms:
Te 0.0000 0.5000 0.0000
Pt 0.0000 0.0000 0.0000
S 0.5000 0.5000 0.5000
I 0.0000 0.0000 0.5000

Crystal system: tetragonal
Energy relative to the elements, uncorrected in eV/atom: 0.659
Magnetic moment in Bohr magnetons per cell: 0.00

[6]
A geometry-optimized Te2PtSI structure. Source: the Alexandria database, functional PBE.

a = 5.2399 Å, b = 5.2399 Å, c = 5.2009 Å
α = 90.00°, β = 90.00°, γ = 90.00°
Space group P4/mmm (No. 123)
One atom of each set of equivalent atoms:
Te 0.0000 0.5000 0.0000
Pt 0.0000 0.0000 0.5000
S 0.5000 0.5000 0.0000
I 0.5000 0.5000 0.5000

Crystal system: tetragonal
Energy relative to the elements, uncorrected in eV/atom: 1.031
Magnetic moment in Bohr magnetons per cell: 0.00

[7]
A geometry-optimized TePtS2I structure. Source: the Alexandria database, functional PBE.

a = 4.6705 Å, b = 4.6705 Å, c = 5.7368 Å
α = 90.00°, β = 90.00°, γ = 90.00°
Space group P4/mmm (No. 123)
One atom of each set of equivalent atoms:
Te 0.0000 0.0000 0.0000
Pt 0.0000 0.0000 0.5000
S 0.0000 0.5000 0.5000
I 0.5000 0.5000 0.0000

Crystal system: tetragonal
Energy relative to the elements, uncorrected in eV/atom: 0.393
Magnetic moment in Bohr magnetons per cell: 0.00

[8]
A geometry-optimized SbPt2I2 structure. Source: the Alexandria database, functional PBE.

a = 3.8738 Å, b = 3.8738 Å, c = 16.7505 Å
α = 90.00°, β = 90.00°, γ = 90.00°
Space group I4/mmm (No. 139)
One atom of each set of equivalent atoms:
Sb 0.0000 0.0000 0.0000
Pt 0.0000 0.5000 0.2500
I 0.0000 0.0000 0.3772

Crystal system: tetragonal
Energy relative to the elements, uncorrected in eV/atom: 0.425
Magnetic moment in Bohr magnetons per cell: 0.00

[9]
A geometry-optimized SbPtI structure. Source: the Alexandria database, functional PBE.

a = 6.9256 Å, b = 3.9952 Å, c = 12.6647 Å
α = 90.00°, β = 90.48°, γ = 90.00°
Space group C2/m (No. 12)
One atom of each set of equivalent atoms:
Sb 0.1652 0.0000 0.4013
Pt 0.0034 0.5000 0.7075
I 0.1725 0.0000 0.8388

Crystal system: monoclinic
Energy relative to the elements, uncorrected in eV/atom: -0.286
Magnetic moment in Bohr magnetons per cell: 0.00

[10]
A geometry-optimized SbPtI2 structure. Source: the Alexandria database, functional PBE.

a = 7.4639 Å, b = 7.4639 Å, c = 7.4639 Å
α = 90.00°, β = 90.00°, γ = 90.00°
Space group Fm-3m (No. 225)
One atom of each set of equivalent atoms:
Sb 0.0000 0.0000 0.0000
Pt 0.0000 0.0000 0.5000
I 0.2500 0.2500 0.2500

Crystal system: cubic
Energy relative to the elements, uncorrected in eV/atom: 0.632
Magnetic moment in Bohr magnetons per cell: 0.00

[11]
A geometry-optimized SbPt2I2 structure. Source: the Alexandria database, functional PBE.

a = 8.6962 Å, b = 8.6962 Å, c = 3.5620 Å
α = 90.00°, β = 90.00°, γ = 90.00°
Space group P4/mbm (No. 127)
One atom of each set of equivalent atoms:
Sb 0.0000 0.0000 0.0000
Pt 0.1028 0.3972 0.5000
I 0.2360 0.7360 0.0000

Crystal system: tetragonal
Energy relative to the elements, uncorrected in eV/atom: 0.640
Magnetic moment in Bohr magnetons per cell: 0.00

[12]
A geometry-optimized SbPtI structure. Source: the Alexandria database, functional PBE.

a = 4.0248 Å, b = 4.0248 Å, c = 6.0488 Å
α = 90.00°, β = 90.00°, γ = 120.00°
Space group P3m1 (No. 156)
One atom of each set of equivalent atoms:
Sb 0.0000 0.0000 0.0000
Pt 0.3333 0.6667 0.7740
I 0.6667 0.3333 0.4981

Crystal system: trigonal
Energy relative to the elements, uncorrected in eV/atom: -0.223
Magnetic moment in Bohr magnetons per cell: 0.00